Computed, not measured: La2SiGeAu2 after structural relaxation at the PBE-GGA level of DFT.

Lattice parameters (Å, degrees): 4.4695 4.4695 8.2373 90.00 90.00 120.00
Space group P3m1 (No. 156)
Unique sites:
La 0.0000 0.0000 0.0000 [1 per cell]
La 0.0000 0.0000 0.4990 [1 per cell]
Si 0.3333 0.6667 0.2302 [1 per cell]
Ge 0.6667 0.3333 0.7242 [1 per cell]
Au 0.3333 0.6667 0.7635 [1 per cell]
Au 0.6667 0.3333 0.2576 [1 per cell]

Spin magnetization ... 0.001 μB/f.u.
Total energy ... -31.626 eV per cell

---

Computed, not measured: LaSiGeAu2 after structural relaxation at the PBE-GGA level of DFT.

Lattice parameters (Å, degrees): 4.5267 4.5267 10.3538 90.00 90.00 90.00
Space group I-4m2 (No. 119)
Unique sites:
La 0.0000 0.0000 0.0000 [2 per cell]
Si 0.0000 0.5000 0.7500 [2 per cell]
Ge 0.0000 0.5000 0.2500 [2 per cell]
Au 0.0000 0.0000 0.3679 [4 per cell]

Spin magnetization ... 0.000 μB/f.u.
Total energy ... -48.408 eV per cell